# 1
Entry from the Alexandria database: a relaxed structure of CaCdP2S (PBE).

Cell: 4.9231 4.9231 5.1789 Å, 90.00 90.00 90.00°
Last column: nearest neighbours and their distance in Å.
Atoms (fractional coordinates):
1 Ca 0.0000 0.0000 0.0000  4 S 3.48, 8 P 3.57
2 Cd 0.5000 0.5000 0.5000  4 P 2.46, 2 S 2.59
3 P 0.0000 0.5000 0.5000  2 Cd 2.46
4 P 0.5000 0.0000 0.5000  2 Cd 2.46
5 S 0.5000 0.5000 0.0000  2 Cd 2.59

## Properties
**ΔE_f (raw)**: 275 meV per atom
**V**: 25.10 Å³/atom
**Relative energy among the computed polymorphs**: 0 meV/atom
**Density of states at the Fermi level**: 1.309 states/eV/atom
**Magnetization**: 0.125 μB/cell

=====

# 2
Entry from the Alexandria database: a relaxed structure of CaCdSi2P (PBE).

Cell: 4.7763 4.7763 5.0582 Å, 90.00 90.00 90.00°
Last column: nearest neighbours and their distance in Å.
Atoms (fractional coordinates):
1 Ca 0.0000 0.0000 0.0000  4 Cd 3.38, 8 Si 3.48
2 Cd 0.5000 0.5000 0.0000  2 P 2.53
3 Si 0.0000 0.5000 0.5000  2 P 2.39
4 Si 0.5000 0.0000 0.5000  2 P 2.39
5 P 0.5000 0.5000 0.5000  4 Si 2.39, 2 Cd 2.53

## Properties
**ΔE_f (raw)**: 317 meV per atom
**V**: 23.08 Å³/atom
**Density of states at the Fermi level**: 0.461 states/eV/atom
**Magnetization**: 0.000 μB/cell

=====

# 3
Entry from the Alexandria database: a relaxed structure of SrCa2CdP (PBE).

Cell: 5.5004 5.5004 5.8827 Å, 90.00 90.00 90.00°
Last column: nearest neighbours and their distance in Å.
Atoms (fractional coordinates):
1 Sr 0.0000 0.0000 0.0000  2 P 2.94
2 Ca 0.0000 0.5000 0.5000  2 P 2.75
3 Ca 0.5000 0.0000 0.5000  2 P 2.75
4 Cd 0.5000 0.5000 0.0000  4 Sr 3.89, 8 Ca 4.03
5 P 0.0000 0.0000 0.5000  4 Ca 2.75, 2 Sr 2.94

## Properties
**Calculated formation energy**: -0.562 eV/atom
**V**: 35.60 Å³/atom
**Density of states at the Fermi level**: 0.895 states/eV/atom
**Magnetization**: 0.000 μB/cell

=====

# 4
Entry from the Alexandria database: a relaxed structure of Sr2CaCdP (PBE).

Cell: 5.8843 5.8843 5.4958 Å, 90.00 90.00 90.00°
Last column: nearest neighbours and their distance in Å.
Atoms (fractional coordinates):
1 Sr 0.0000 0.5000 0.0000  2 P 2.94
2 Sr 0.5000 0.0000 0.0000  2 P 2.94
3 Ca 0.0000 0.0000 0.5000  2 P 2.75
4 Cd 0.5000 0.5000 0.5000  8 Sr 4.03, 4 Ca 4.16
5 P 0.0000 0.0000 0.0000  2 Ca 2.75, 4 Sr 2.94

## Properties
**Calculated formation energy**: -0.548 eV/atom
**V**: 38.06 Å³/atom
**Density of states at the Fermi level**: 0.907 states/eV/atom
**Magnetization**: 0.000 μB/cell

=====

# 5
Entry from the Alexandria database: a relaxed structure of Ca2TaCdP (PBE).

Cell: 5.4171 5.4171 4.9806 Å, 90.00 90.00 90.00°
Last column: nearest neighbours and their distance in Å.
Atoms (fractional coordinates):
1 Ca 0.0000 0.5000 0.0000  2 P 2.71
2 Ca 0.5000 0.0000 0.0000  2 P 2.71
3 Ta 0.0000 0.0000 0.5000  8 Ca 3.68, 4 Cd 3.83
4 Cd 0.5000 0.5000 0.5000  2 P 2.49
5 P 0.5000 0.5000 0.0000  2 Cd 2.49, 4 Ca 2.71

## Properties
**Calculated formation energy**: 0.577 eV/atom
**V**: 29.23 Å³/atom
**Density of states at the Fermi level**: 0.804 states/eV/atom
**Magnetization**: 4.197 μB/cell

=====

# 6
Entry from the Alexandria database: a relaxed structure of CaTlCd2P (PBE).

Cell: 5.3063 5.3063 6.0078 Å, 90.00 90.00 90.00°
Last column: nearest neighbours and their distance in Å.
Atoms (fractional coordinates):
1 Ca 0.0000 0.0000 0.0000  2 Tl 3.00
2 Tl 0.0000 0.0000 0.5000  4 Cd 2.65
3 Cd 0.0000 0.5000 0.5000  2 Tl 2.65
4 Cd 0.5000 0.0000 0.5000  2 Tl 2.65
5 P 0.5000 0.5000 0.0000  4 Ca 3.75, 8 Cd 4.01

## Properties
**Calculated formation energy**: 0.551 eV/atom
**V**: 33.83 Å³/atom
**Density of states at the Fermi level**: 0.886 states/eV/atom
**Magnetization**: 0.836 μB/cell

=====

# 7
Entry from the Alexandria database: a relaxed structure of CaY2CdP (PBE).

Cell: 5.7597 5.7597 5.0094 Å, 90.00 90.00 90.00°
Last column: nearest neighbours and their distance in Å.
Atoms (fractional coordinates):
1 Ca 0.0000 0.0000 0.0000  8 Y 3.82, 4 P 4.07
2 Y 0.0000 0.5000 0.5000  2 Cd 2.88
3 Y 0.5000 0.0000 0.5000  2 Cd 2.88
4 Cd 0.5000 0.5000 0.5000  2 P 2.50
5 P 0.5000 0.5000 0.0000  2 Cd 2.50

## Properties
**Calculated formation energy**: 0.445 eV/atom
**V**: 33.24 Å³/atom
**Density of states at the Fermi level**: 1.694 states/eV/atom
**Magnetization**: 0.001 μB/cell

=====

# 8
Entry from the Alexandria database: a relaxed structure of CaZnCdP2 (PBE).

Cell: 7.3309 7.3309 9.8432 Å, 126.45 126.45 32.70°
Last column: nearest neighbours and their distance in Å.
Atoms (fractional coordinates):
1 Ca 0.2126 0.2126 0.1428  5 P 2.90-2.93
2 Ca 0.7874 0.7874 0.8572  5 P 2.90-2.93
3 Zn 0.0563 0.0563 0.7108  4 P 2.47-2.65
4 Zn 0.9437 0.9437 0.2892  4 P 2.47-2.65
5 Cd 0.3644 0.3644 0.6050  4 P 2.58-2.70
6 Cd 0.6356 0.6356 0.3950  4 P 2.58-2.70
7 P 0.1652 0.1652 0.5883  2 Zn 2.47-2.65, 3 Cd 2.66-2.70
8 P 0.4111 0.4111 0.1254  2 Zn 2.48, 1 Cd 2.58
9 P 0.5889 0.5889 0.8746  2 Zn 2.48, 1 Cd 2.58
10 P 0.8348 0.8348 0.4117  2 Zn 2.47-2.65, 3 Cd 2.66-2.70

## Properties
**Calculated formation energy**: -0.511 eV/atom
**V**: 22.44 Å³/atom
**Magnetization**: 0.000 μB/cell

=====

# 9
Entry from the Alexandria database: a relaxed structure of Ca2PaCd (PBE).

Cell: 12.2254 12.2254 12.2254 Å, 15.73 15.73 15.73°
Last column: nearest neighbours and their distance in Å.
Atoms (fractional coordinates):
1 Ca 0.0918 0.0918 0.0918  1 Pa 3.32, 3 Cd 3.33, 6 Ca 3.35
2 Ca 0.9082 0.9082 0.9082  1 Pa 3.32, 3 Cd 3.33, 6 Ca 3.35
3 Pa 0.0000 0.0000 0.0000  2 Ca 3.32, 6 Pa 3.35
4 Cd 0.5000 0.5000 0.5000  6 Ca 3.33, 6 Cd 3.35

## Properties
**Calculated formation energy**: 0.318 eV/atom
**V**: 29.27 Å³/atom
**Density of states at the Fermi level**: 1.394 states/eV/atom
**Magnetization**: 0.000 μB/cell

=====

# 10
Entry from the Alexandria database: a relaxed structure of CaPaCdSn (PBE).

Cell: 5.3509 5.3509 5.3509 Å, 60.00 60.00 60.00°
Last column: nearest neighbours and their distance in Å.
Atoms (fractional coordinates):
1 Ca 0.0000 0.0000 0.0000  4 Cd 3.28, 4 Sn 3.28
2 Pa 0.5000 0.5000 0.5000  4 Cd 3.28, 4 Sn 3.28
3 Cd 0.2500 0.2500 0.2500  4 Pa 3.28, 4 Ca 3.28
4 Sn 0.7500 0.7500 0.7500  4 Pa 3.28, 4 Ca 3.28

## Properties
**Calculated formation energy**: -0.079 eV/atom
**V**: 27.08 Å³/atom
**Density of states at the Fermi level**: 1.473 states/eV/atom
**Magnetization**: 1.156 μB/cell

=====

# 11
Entry from the Alexandria database: a relaxed structure of Ca2Cd2Pb (PBE).

Cell: 7.3487 7.3487 7.3487 Å, 140.33 140.33 57.35°
Last column: nearest neighbours and their distance in Å.
Atoms (fractional coordinates):
1 Ca 0.2500 0.7500 0.5000  4 Cd 3.12
2 Ca 0.7500 0.2500 0.5000  4 Cd 3.12
3 Cd 0.1040 0.1040 0.0000  1 Cd 2.68
4 Cd 0.8960 0.8960 0.0000  1 Cd 2.68
5 Pb 0.5000 0.5000 0.0000  8 Cd 3.77, 8 Ca 4.08

## Properties
**Calculated formation energy**: -0.048 eV/atom
**V**: 32.07 Å³/atom
**Relative energy among the computed polymorphs**: 345 meV/atom
**Density of states at the Fermi level**: 0.659 states/eV/atom
**Magnetization**: 0.000 μB/cell

=====

# 12
Entry from the Alexandria database: a relaxed structure of Ca5Cd2Pb5 (PBE).

Cell: 8.8876 8.8876 10.5843 Å, 124.64 124.64 32.44°
Last column: nearest neighbours and their distance in Å.
Atoms (fractional coordinates):
1 Ca 0.0000 0.0000 0.0000  6 Pb 3.31-3.58, 4 Cd 3.38
2 Ca 0.1166 0.1166 0.4273  3 Cd 3.42-3.48, 7 Pb 3.54-3.63, 1 Ca 3.71
3 Ca 0.1677 0.1677 0.8391  4 Pb 3.25-3.31, 1 Cd 3.60
4 Ca 0.8323 0.8323 0.1609  4 Pb 3.25-3.31, 1 Cd 3.60
5 Ca 0.8834 0.8834 0.5727  3 Cd 3.42-3.48, 7 Pb 3.54-3.63, 1 Ca 3.71
6 Cd 0.3485 0.3485 0.7657  3 Pb 2.97-2.98
7 Cd 0.6515 0.6515 0.2343  3 Pb 2.97-2.98
8 Pb 0.2593 0.2593 0.2745  2 Cd 2.97, 2 Ca 3.31, 1 Pb 3.31
9 Pb 0.4514 0.4514 0.1507  1 Cd 2.98, 4 Ca 3.25-3.31, 1 Pb 3.28
10 Pb 0.5000 0.5000 0.5000  4 Pb 3.28-3.31, 4 Ca 3.54
11 Pb 0.5486 0.5486 0.8493  1 Cd 2.98, 4 Ca 3.25-3.31, 1 Pb 3.28
12 Pb 0.7407 0.7407 0.7255  2 Cd 2.97, 2 Ca 3.31, 1 Pb 3.31

## Properties
**Calculated formation energy**: -0.422 eV/atom
**V**: 30.12 Å³/atom
**Density of states at the Fermi level**: 0.409 states/eV/atom
**Magnetization**: 0.000 μB/cell

=====

# 13
Entry from the Alexandria database: a relaxed structure of CaCdPb4 (PBE).

Cell: 4.9183 4.8458 7.8924 Å, 90.00 107.90 90.00°
Last column: nearest neighbours and their distance in Å.
Atoms (fractional coordinates):
1 Ca 0.0000 0.0000 0.0000  2 Cd 3.40, 10 Pb 3.45-3.63
2 Cd 0.1626 0.5000 0.3177  2 Ca 3.40, 10 Pb 3.44-3.55
3 Pb 0.3228 0.0000 0.6466  8 Pb 3.42-3.56, 2 Cd 3.46, 2 Ca 3.61-3.63
4 Pb 0.4952 0.5000 0.9934  2 Cd 3.44-3.49, 4 Ca 3.45-3.46, 6 Pb 3.50-3.56
5 Pb 0.6659 0.0000 0.3293  6 Pb 3.42-3.50, 4 Cd 3.44-3.46, 2 Ca 3.48-3.50
6 Pb 0.8306 0.5000 0.6583  8 Pb 3.45-3.52, 2 Ca 3.53, 2 Cd 3.55

## Properties
**Calculated formation energy**: -0.165 eV/atom
**V**: 29.83 Å³/atom
**Relative energy among the computed polymorphs**: 0 meV/atom
**Density of states at the Fermi level**: 0.583 states/eV/atom
**Magnetization**: 0.000 μB/cell

=====

# 14
Entry from the Alexandria database: a relaxed structure of Ca2Cd3Pb2 (PBE).

Cell: 6.2516 6.2516 7.3561 Å, 106.07 106.07 46.19°
Last column: nearest neighbours and their distance in Å.
Atoms (fractional coordinates):
1 Ca 0.1360 0.1360 0.2490  4 Pb 3.35-3.49, 7 Cd 3.35-3.69
2 Ca 0.8640 0.8640 0.7510  4 Pb 3.35-3.49, 7 Cd 3.35-3.69
3 Cd 0.4008 0.4008 0.0732  2 Cd 2.80-3.00, 2 Pb 3.07
4 Cd 0.5000 0.5000 0.5000  2 Cd 3.00, 4 Pb 3.21
5 Cd 0.5992 0.5992 0.9268  2 Cd 2.80-3.00, 2 Pb 3.07
6 Pb 0.1614 0.1614 0.7225  5 Cd 3.07-3.21, 3 Ca 3.35-3.41
7 Pb 0.8386 0.8386 0.2775  5 Cd 3.07-3.21, 3 Ca 3.35-3.41

## Properties
**Calculated formation energy**: -0.282 eV/atom
**V**: 28.26 Å³/atom
**Density of states at the Fermi level**: 0.518 states/eV/atom
**Magnetization**: 0.000 μB/cell

=====

# 15
Entry from the Alexandria database: a relaxed structure of CaCdPb2 (PBE).

Cell: 5.6099 5.6099 3.7666 Å, 90.00 90.00 103.42°
Last column: nearest neighbours and their distance in Å.
Atoms (fractional coordinates):
1 Ca 0.0000 0.0000 0.0000  8 Pb 3.38, 2 Cd 3.48, 2 Ca 3.77
2 Cd 0.5000 0.5000 0.0000  8 Pb 3.38, 2 Ca 3.48, 2 Cd 3.77
3 Pb 0.0000 0.5000 0.5000  4 Cd 3.38, 4 Ca 3.38, 4 Pb 3.48-3.77
4 Pb 0.5000 0.0000 0.5000  4 Cd 3.38, 4 Ca 3.38, 4 Pb 3.48-3.77

## Properties
**Calculated formation energy**: -0.244 eV/atom
**V**: 28.83 Å³/atom
**Density of states at the Fermi level**: 0.506 states/eV/atom
**Magnetization**: 0.000 μB/cell

=====

# 16
Entry from the Alexandria database: a relaxed structure of Ca2CdPb2 (PBE).

Cell: 9.2861 9.2861 9.2861 Å, 152.57 152.57 39.18°
Last column: nearest neighbours and their distance in Å.
Atoms (fractional coordinates):
1 Ca 0.1010 0.1010 0.0000  4 Pb 3.41, 1 Ca 3.54, 4 Cd 3.58
2 Ca 0.8990 0.8990 0.0000  4 Pb 3.41, 1 Ca 3.54, 4 Cd 3.58
3 Cd 0.5000 0.5000 0.0000  8 Ca 3.58
4 Pb 0.2500 0.7500 0.5000  4 Pb 3.11, 4 Ca 3.41
5 Pb 0.7500 0.2500 0.5000  4 Pb 3.11, 4 Ca 3.41

## Properties
**Calculated formation energy**: -0.133 eV/atom
**V**: 33.93 Å³/atom
**Relative energy among the computed polymorphs**: 274 meV/atom
**Density of states at the Fermi level**: 0.675 states/eV/atom
**Magnetization**: 0.000 μB/cell

=====

# 17
Entry from the Alexandria database: a relaxed structure of Ca5Cd4Pb (PBE).

Cell: 3.8344 3.8344 19.4577 Å, 90.00 90.00 90.00°
Last column: nearest neighbours and their distance in Å.
Atoms (fractional coordinates):
1 Ca 0.0000 0.0000 0.0000  8 Cd 3.31
2 Ca 0.0000 0.0000 0.1971  8 Cd 3.31-3.33
3 Ca 0.0000 0.0000 0.3941  4 Cd 3.33, 4 Pb 3.41
4 Ca 0.0000 0.0000 0.6059  4 Cd 3.33, 4 Pb 3.41
5 Ca 0.0000 0.0000 0.8029  8 Cd 3.31-3.33
6 Cd 0.5000 0.5000 0.0980  8 Ca 3.31-3.33
7 Cd 0.5000 0.5000 0.2946  8 Ca 3.31-3.33
8 Cd 0.5000 0.5000 0.7054  8 Ca 3.31-3.33
9 Cd 0.5000 0.5000 0.9020  8 Ca 3.31-3.33
10 Pb 0.5000 0.5000 0.5000  8 Ca 3.41

## Properties
**Calculated formation energy**: -0.400 eV/atom
**V**: 28.61 Å³/atom
**Density of states at the Fermi level**: 0.650 states/eV/atom
**Magnetization**: 0.000 μB/cell

=====

# 18
Entry from the Alexandria database: a relaxed structure of CaCdPb2 (PBE).

Cell: 10.1254 10.1254 10.1254 Å, 21.53 21.53 21.53°
Last column: nearest neighbours and their distance in Å.
Atoms (fractional coordinates):
1 Ca 0.0000 0.0000 0.0000  6 Pb 3.42, 6 Ca 3.78
2 Cd 0.5000 0.5000 0.5000  6 Pb 3.18
3 Pb 0.2445 0.2445 0.2445  3 Cd 3.18, 3 Ca 3.42
4 Pb 0.7555 0.7555 0.7555  3 Cd 3.18, 3 Ca 3.42

## Properties
**Calculated formation energy**: -0.105 eV/atom
**V**: 30.62 Å³/atom
**Density of states at the Fermi level**: 0.763 states/eV/atom
**Magnetization**: 0.000 μB/cell

=====

# 19
Entry from the Alexandria database: a relaxed structure of Ca4CdPb (PBE).

Cell: 5.3217 5.3217 7.8515 Å, 90.00 90.00 90.00°
Last column: nearest neighbours and their distance in Å.
Atoms (fractional coordinates):
1 Ca 0.0000 0.5000 0.2454  2 Pb 3.29, 2 Cd 3.33
2 Ca 0.0000 0.5000 0.7546  2 Pb 3.29, 2 Cd 3.33
3 Ca 0.5000 0.0000 0.2454  2 Pb 3.29, 2 Cd 3.33
4 Ca 0.5000 0.0000 0.7546  2 Pb 3.29, 2 Cd 3.33
5 Cd 0.0000 0.0000 0.5000  8 Ca 3.33
6 Pb 0.5000 0.5000 0.0000  8 Ca 3.29

## Properties
**Calculated formation energy**: -0.275 eV/atom
**V**: 37.06 Å³/atom
**Relative energy among the computed polymorphs**: 0 meV/atom
**Density of states at the Fermi level**: 1.043 states/eV/atom
**Magnetization**: 0.000 μB/cell

=====

# 20
Entry from the Alexandria database: a relaxed structure of CaCd8Pb3 (PBE).

Cell: 6.0211 6.0211 9.8251 Å, 90.00 90.00 120.00°
Last column: nearest neighbours and their distance in Å.
Atoms (fractional coordinates):
1 Ca 0.0000 0.0000 0.0000  12 Cd 3.45-3.55, 4 Pb 3.55-3.68
2 Cd 0.1625 0.3249 0.6942  6 Cd 2.93-3.09
3 Cd 0.1625 0.8375 0.6942  6 Cd 2.93-3.09
4 Cd 0.3333 0.6667 0.4458  6 Cd 3.02-3.07
5 Cd 0.3333 0.6667 0.9426  6 Cd 3.02
6 Cd 0.5035 0.0070 0.1914  6 Cd 2.95-3.07
7 Cd 0.5035 0.4965 0.1914  6 Cd 2.95-3.07
8 Cd 0.6751 0.8375 0.6942  6 Cd 2.93-3.09
9 Cd 0.9930 0.4965 0.1914  6 Cd 2.95-3.07
10 Pb 0.0000 0.0000 0.3609  12 Cd 3.44-3.69, 1 Ca 3.55, 3 Pb 3.75
11 Pb 0.6667 0.3333 0.5045  12 Cd 3.52-3.54, 4 Pb 3.65-3.75
12 Pb 0.6667 0.3333 0.8761  12 Cd 3.50-3.54, 1 Pb 3.65, 3 Ca 3.68

## Properties
**Calculated formation energy**: -0.093 eV/atom
**V**: 25.71 Å³/atom
**Density of states at the Fermi level**: 0.421 states/eV/atom
**Magnetization**: 0.000 μB/cell